The following is a GGA-PBE calculation of a geometry-optimized AsPOs structure, from OQMD.

Properties
crystal system	orthorhombic
ΔE to the lowest computed polymorph	0.000	eV per atom

Structure (CIF):
```
data_AsPOs
_cell_length_a 2.9942
_cell_length_b 5.3073
_cell_length_c 6.0907
_cell_angle_alpha 90.00
_cell_angle_beta 90.00
_cell_angle_gamma 90.00
_space_group_name_H-M_alt 'P m n 21'
_space_group_IT_number 31
loop_
_space_group_symop_operation_xyz
'x,y,z'
'-x+1/2,-y,z+1/2'
'-x,y,z'
'x+1/2,-y,z+1/2'
loop_
_atom_site_label
_atom_site_fract_x
_atom_site_fract_y
_atom_site_fract_z
As1 0.0000 0.0880 0.0000
P1 0.0000 0.4232 0.2631
Os1 0.0000 0.2684 0.6238
```